Record 1
Entry from Alexandria: crystalline ZnGe2Sb at its relaxed geometry (PBEsol).

Cell: 4.821 4.821 4.821 Å, 60.00 60.00 60.00°
Positions (direct):
Ge 0.250 0.250 0.250
Ge 0.750 0.750 0.750
Sb 0.500 0.500 0.500
Zn 0.000 0.000 0.000

Uncorrected energy: -3.71 eV/atom
Energy relative to the elements, uncorrected: 1.2 eV/f.u.

Record 2
Entry from Alexandria: crystalline Ti3SbSe at its relaxed geometry (PBEsol).

Cell: 4.639 4.639 4.639 Å, 90.00 90.00 90.00°
Each line ends with the local moment (μB).
Positions (direct):
Ti 0.500 0.000 0.000  0.32
Ti 0.000 0.000 0.500  0.32
Ti 0.000 0.500 0.000  0.32
Sb 0.500 0.500 0.500  -0.01
Se 0.000 0.000 0.000  0.00

Excess energy over the best structure of this formula in the dataset: 0.0 meV per atom
Uncorrected energy: -6.78 eV/atom
Energy relative to the elements, uncorrected: -0.5 eV/f.u.

Record 3
Entry from Alexandria: crystalline KSe at its relaxed geometry (PBEsol).

Cell: 3.708 3.708 5.314 Å, 69.58 69.58 60.00°
Positions (direct):
Se 0.500 0.500 0.500
K 0.000 0.000 0.000

Uncorrected energy: -2.99 eV/atom
Energy relative to the elements, uncorrected: -1.0 eV/f.u.

Record 4
Entry from Alexandria: crystalline KI at its relaxed geometry (PBEsol).

Cell: 4.946 4.946 4.946 Å, 60.00 60.00 60.00°
Positions (direct):
I 0.500 0.500 0.500
K 0.000 0.000 0.000

Uncorrected energy: -2.91 eV/atom
Energy relative to the elements, uncorrected: -2.9 eV/f.u.

Record 5
Entry from Alexandria: crystalline ZnInPt2 at its relaxed geometry (PBEsol).

Cell: 2.902 4.727 4.727 Å, 105.09 90.00 90.00°
Positions (direct):
Zn 0.500 0.000 0.000
Pt 0.000 0.500 0.000
Pt 0.000 0.000 0.500
In 0.500 0.500 0.500

Formation energy from the elements: -0.4416 eV/atom
Uncorrected energy: -5.06 eV/atom

Record 6
Entry from Alexandria: crystalline Fe3Co5 at its relaxed geometry (PBEsol).

Cell: 3.936 3.936 6.831 Å, 73.26 73.26 60.00°
Each line ends with the local moment (μB).
Positions (direct):
Fe 0.748 0.748 0.756  2.65
Fe 0.500 0.500 0.500  2.71
Fe 0.252 0.252 0.244  2.65
Co 0.377 0.377 0.870  1.72
Co 0.874 0.874 0.378  1.70
Co 0.623 0.623 0.130  1.72
Co 0.000 0.000 0.000  1.68
Co 0.126 0.126 0.622  1.70

Formation energy from the elements: 0.0277 eV/atom
Uncorrected energy: -8.17 eV/atom

Record 7
Entry from Alexandria: crystalline SrAs2P at its relaxed geometry (PBEsol).

Cell: 4.106 4.106 5.777 Å, 110.82 110.82 90.00°
Positions (direct):
Sr 0.000 0.000 0.000
As 0.750 0.250 0.500
As 0.250 0.750 0.500
P 0.500 0.500 0.000

Formation energy from the elements: -0.1896 eV/atom
Uncorrected energy: -4.65 eV/atom

Record 8
Entry from Alexandria: crystalline TlCuW2 at its relaxed geometry (PBEsol).

Cell: 4.478 4.478 4.478 Å, 60.00 60.00 60.00°
Positions (direct):
Cu 0.000 0.000 0.000
W 0.250 0.250 0.250
W 0.750 0.750 0.750
Tl 0.500 0.500 0.500

Formation energy from the elements: 1.0813 eV/atom
Uncorrected energy: -7.56 eV/atom

Question: What is the uncorrected energy in the seventh record?
Answer: -4.65 eV/atom

Question: Which of these has the lowest uncorrected energy?
Answer: Fe3Co5

Question: Number 7 is which compound?
Answer: SrAs2P